Record 1
A plane-wave DFT calculation with PBE-GGA was carried out for AcAs2Os after structural relaxation.

Unit cell a=5.9577 b=5.9577 c=5.9577 alpha=42.33 beta=42.33 gamma=42.33
Closest atoms and distances in Å follow each position.
Sites, in units of the cell vectors:
Ac: 0.0000 0.0000 0.0000  8 As 3.14-3.49
As: 0.2150 0.2150 0.2150  3 Os 2.61
As: 0.7850 0.7850 0.7850  3 Os 2.61
Os: 0.5000 0.5000 0.5000  6 As 2.61

## Properties
Raw total energy, eV per atom: -6.75
Energy above the most stable polymorph in this dataset, meV/atom: 0

Record 2
A plane-wave DFT calculation with PBE-GGA was carried out for YAl2Tc after structural relaxation.

Unit cell a=9.4055 b=9.4055 c=9.4055 alpha=18.92 beta=18.92 gamma=18.92
Closest atoms and distances in Å follow each position.
Sites, in units of the cell vectors:
Y: 0.0000 0.0000 0.0000  6 Y 3.09, 6 Al 3.25
Al: 0.2353 0.2353 0.2353  3 Tc 2.61
Al: 0.7647 0.7647 0.7647  3 Tc 2.61
Tc: 0.5000 0.5000 0.5000  6 Al 2.61

## Properties
Raw total energy, eV per atom: -6.08
Energy above the most stable polymorph in this dataset, meV/atom: 340

Record 3
A plane-wave DFT calculation with PBE-GGA was carried out for SrGaN2 after structural relaxation.

Unit cell a=4.2617 b=4.2617 c=4.2617 alpha=60.00 beta=60.00 gamma=60.00
Closest atoms and distances in Å follow each position.
Sites, in units of the cell vectors:
Sr: 0.0000 0.0000 0.0000  8 N 2.61
Ga: 0.5000 0.5000 0.5000  8 N 2.61
N: 0.2500 0.2500 0.2500  4 Sr 2.61, 4 Ga 2.61
N: 0.7500 0.7500 0.7500  4 Sr 2.61, 4 Ga 2.61

## Properties
Raw total energy, eV per atom: -4.70
Uncorrected formation energy, meV per atom: 639
Energy above the most stable polymorph in this dataset, meV/atom: 870

Record 4
A plane-wave DFT calculation with PBE-GGA was carried out for DyErRh2 after structural relaxation.

Unit cell a=4.8206 b=4.8206 c=4.8206 alpha=60.00 beta=60.00 gamma=60.00
Closest atoms and distances in Å follow each position.
Sites, in units of the cell vectors:
Dy: 0.0000 0.0000 0.0000  8 Rh 2.95
Er: 0.5000 0.5000 0.5000  8 Rh 2.95
Rh: 0.2500 0.2500 0.2500  4 Dy 2.95, 4 Er 2.95
Rh: 0.7500 0.7500 0.7500  4 Er 2.95, 4 Dy 2.95

## Properties
Raw total energy, eV per atom: -6.87
Energy above the most stable polymorph in this dataset, meV/atom: 0

What is the formula in the second record?
YAl2Tc